[1]
A plane-wave DFT calculation with PBE was carried out for an optimized crystal structure of NbGeF2.

Summary:
The calculation puts the calculated volume at 13.27 Å³ per atom. The density of states at the Fermi level comes out at 0.46 states/eV per atom. Its uncorrected formation energy is -0.74 eV/atom.

Cell lengths 4.2188, 4.2188, 4.2188 Å; angles 60.00, 60.00, 60.00 degrees
Closest atoms and distances in Å follow each position.
Atoms (fractional coordinates):
Nb1 0.0000 0.0000 0.0000  8 F 2.58
Ge1 0.5000 0.5000 0.5000  8 F 2.58
F1 0.2500 0.2500 0.2500  4 Ge 2.58, 4 Nb 2.58
F2 0.7500 0.7500 0.7500  4 Ge 2.58, 4 Nb 2.58

---

[2]
A plane-wave DFT calculation with PBE was carried out for an optimized crystal structure of LiPr6Cd5.

Summary:
The calculation puts the calculated volume at 29.14 Å³ per atom. The density of states at the Fermi level comes out at 1.33 states/eV per atom. The value obtained for the formation energy is -262.0 meV/atom.

Cell lengths 5.4694, 7.7934, 8.6393 Å; angles 90.00, 108.29, 90.00 degrees
Closest atoms and distances in Å follow each position.
Atoms (fractional coordinates):
Li1 0.0000 0.0000 0.0000  8 Pr 3.36
Pr1 0.1650 0.2493 0.3342  7 Cd 3.35-3.39, 1 Li 3.36
Pr2 0.1650 0.7507 0.3342  7 Cd 3.35-3.39, 1 Li 3.36
Pr3 0.5000 0.2514 0.0000  6 Cd 3.32-3.35, 2 Li 3.36
Pr4 0.5000 0.7486 0.0000  6 Cd 3.32-3.35, 2 Li 3.36
Pr5 0.8350 0.2493 0.6658  7 Cd 3.35-3.39, 1 Li 3.36
Pr6 0.8350 0.7507 0.6658  7 Cd 3.35-3.39, 1 Li 3.36
Cd1 0.0000 0.5000 0.0000  8 Pr 3.35-3.37
Cd2 0.3366 0.5000 0.6675  8 Pr 3.35-3.36
Cd3 0.3392 0.0000 0.6734  8 Pr 3.32-3.39
Cd4 0.6608 0.0000 0.3266  8 Pr 3.32-3.39
Cd5 0.6634 0.5000 0.3325  8 Pr 3.35-3.36